Density functional theory data (GGA-PBE) for Rb2Na2HgSb2 after structural relaxation.

* crystal system: trigonal
* uncorrected energy: -2.23 eV/atom

```
7
Lattice="-8.7053 -4.8269 0.5559 -4.4519 -8.9171 -0.2374 -5.3883 -6.6058 5.1692" Properties=species:S:1:pos:R:3 pbc="T T T"
Hg 0.0000 0.0000 0.0000
Na -3.8709 -4.2475 1.1454
Na -14.6747 -16.1024 4.3423
Rb -7.1895 -7.8890 2.1274
Rb -11.3561 -12.4609 3.3603
Sb -1.7868 -1.9607 0.5287
Sb -16.7587 -18.3892 4.9590
```